--- 1 ---
GGA-PBE PdWC2, relaxed; Fermi-level density of states = 5.14 states/eV/cell; magnetization = 0.00 μB per cell
1.0
4.768 0.000 0.000
0.000 4.768 0.000
0.000 0.000 9.365
Pd W C
4 4 8
direct
0.000 0.000 0.000
0.000 0.500 0.250
0.500 0.000 0.750
0.500 0.500 0.500
0.000 0.000 0.500
0.000 0.500 0.750
0.500 0.000 0.250
0.500 0.500 0.000
0.228 0.250 0.625
0.250 0.728 0.875
0.250 0.772 0.375
0.272 0.250 0.125
0.728 0.750 0.125
0.750 0.228 0.375
0.750 0.272 0.875
0.772 0.750 0.625


--- 2 ---
GGA-PBE PdWC2, relaxed; Fermi-level density of states = 4.65 states/eV/cell; magnetization = 0.00 μB per cell
1.0
5.491 0.000 0.000
0.000 5.491 0.000
0.000 0.000 5.491
Pd W C
4 4 8
direct
0.000 0.000 0.000
0.000 0.500 0.500
0.500 0.000 0.500
0.500 0.500 0.000
0.000 0.000 0.500
0.000 0.500 0.000
0.500 0.000 0.000
0.500 0.500 0.500
0.250 0.250 0.250
0.250 0.250 0.750
0.250 0.750 0.250
0.250 0.750 0.750
0.750 0.250 0.250
0.750 0.250 0.750
0.750 0.750 0.250
0.750 0.750 0.750


Verdict on stability: 2 comes out at the bottom.


--- 1 ---
GGA-PBE YPd2C, relaxed; Fermi-level density of states = 12.09 states/eV/cell; magnetization = 0.00 μB per cell
1.0
6.367 0.000 0.000
0.000 6.367 0.000
0.000 0.000 6.367
Y Pd C
4 8 4
direct
0.000 0.000 0.000
0.000 0.500 0.500
0.500 0.000 0.500
0.500 0.500 0.000
0.250 0.250 0.250
0.250 0.250 0.750
0.250 0.750 0.250
0.250 0.750 0.750
0.750 0.250 0.250
0.750 0.250 0.750
0.750 0.750 0.250
0.750 0.750 0.750
0.000 0.000 0.500
0.000 0.500 0.000
0.500 0.000 0.000
0.500 0.500 0.500


--- 2 ---
GGA-PBE YPd2C, relaxed; Fermi-level density of states = 10.61 states/eV/cell; magnetization = 0.00 μB per cell
1.0
4.958 0.000 0.000
0.000 4.958 0.000
0.000 0.000 12.622
Y Pd C
4 8 4
direct
0.000 0.000 0.000
0.000 0.500 0.250
0.500 0.000 0.750
0.500 0.500 0.500
0.094 0.250 0.625
0.250 0.594 0.875
0.250 0.906 0.375
0.406 0.250 0.125
0.594 0.750 0.125
0.750 0.094 0.375
0.750 0.406 0.875
0.906 0.750 0.625
0.000 0.000 0.500
0.000 0.500 0.750
0.500 0.000 0.250
0.500 0.500 0.000


Verdict on stability: 1 comes out at the bottom.


--- 1 ---
GGA-PBE YPdC3, relaxed; Fermi-level density of states = 4.97 states/eV/cell; magnetization = 0.00 μB per cell
1.0
4.076 0.000 0.000
0.000 4.076 0.000
0.000 0.000 4.076
Y Pd C
1 1 3
direct
0.000 0.000 0.000
0.500 0.500 0.500
0.000 0.500 0.500
0.500 0.000 0.500
0.500 0.500 0.000


--- 2 ---
GGA-PBE YPdC3, relaxed; Fermi-level density of states = 3.32 states/eV/cell; magnetization = 0.00 μB per cell
1.0
4.430 0.000 0.000
0.000 4.430 0.000
0.000 0.000 4.430
Y Pd C
1 1 3
direct
0.000 0.000 0.000
0.500 0.500 0.500
0.000 0.000 0.500
0.000 0.500 0.000
0.500 0.000 0.000


Verdict on stability: 2 comes out at the bottom.


--- 1 ---
GGA-PBE ZnPdC3, relaxed; Fermi-level density of states = 1.91 states/eV/cell; magnetization = 0.00 μB per cell
1.0
3.919 0.000 0.000
0.000 3.919 0.000
0.000 0.000 3.919
Zn Pd C
1 1 3
direct
0.000 0.000 0.000
0.500 0.500 0.500
0.000 0.000 0.500
0.000 0.500 0.000
0.500 0.000 0.000


--- 2 ---
GGA-PBE ZnPdC3, relaxed; Fermi-level density of states = 0.35 states/eV/cell; magnetization = 0.00 μB per cell
1.0
4.051 0.000 0.000
0.000 4.051 0.000
0.000 0.000 4.051
Zn Pd C
1 1 3
direct
0.000 0.000 0.000
0.500 0.500 0.500
0.000 0.500 0.500
0.500 0.000 0.500
0.500 0.500 0.000


Verdict on stability: 1 comes out at the bottom.


--- 1 ---
GGA-PBE ZnPd2C, relaxed; Fermi-level density of states = 5.71 states/eV/cell; magnetization = 0.00 μB per cell
1.0
5.566 0.000 0.000
0.000 5.566 0.000
0.000 0.000 8.702
Zn Pd C
4 8 4
direct
0.000 0.000 0.000
0.000 0.500 0.250
0.500 0.000 0.750
0.500 0.500 0.500
0.159 0.250 0.625
0.250 0.659 0.875
0.250 0.841 0.375
0.341 0.250 0.125
0.659 0.750 0.125
0.750 0.159 0.375
0.750 0.341 0.875
0.841 0.750 0.625
0.000 0.000 0.500
0.000 0.500 0.750
0.500 0.000 0.250
0.500 0.500 0.000


--- 2 ---
GGA-PBE ZnPd2C, relaxed; Fermi-level density of states = 15.07 states/eV/cell; magnetization = 0.00 μB per cell
1.0
5.922 0.000 0.000
0.000 5.922 0.000
0.000 0.000 5.922
Zn Pd C
4 8 4
direct
0.000 0.000 0.000
0.000 0.500 0.500
0.500 0.000 0.500
0.500 0.500 0.000
0.250 0.250 0.250
0.250 0.250 0.750
0.250 0.750 0.250
0.250 0.750 0.750
0.750 0.250 0.250
0.750 0.250 0.750
0.750 0.750 0.250
0.750 0.750 0.750
0.000 0.000 0.500
0.000 0.500 0.000
0.500 0.000 0.000
0.500 0.500 0.500


Verdict on stability: 2 comes out at the bottom.


--- 1 ---
GGA-PBE Zr4Pd2C, relaxed; Fermi-level density of states = 12.50 states/eV/cell; magnetization = 0.00 μB per cell
1.0
6.419 0.000 0.000
0.000 5.475 0.000
-1.832 0.000 7.358
Zr Pd C
8 4 2
direct
0.044 0.250 0.367
0.147 0.250 0.961
0.434 0.501 0.696
0.434 0.999 0.696
0.566 0.001 0.304
0.566 0.499 0.304
0.853 0.750 0.039
0.956 0.750 0.633
0.204 0.750 0.345
0.303 0.750 0.990
0.697 0.250 0.010
0.796 0.250 0.655
0.138 0.250 0.666
0.862 0.750 0.334


--- 2 ---
GGA-PBE Zr4Pd2C, relaxed; Fermi-level density of states = 12.21 states/eV/cell; magnetization = 0.00 μB per cell
1.0
4.497 0.000 0.000
0.000 4.497 0.000
0.000 0.000 13.480
Zr Pd C
8 4 2
direct
0.000 0.000 0.175
0.000 0.000 0.825
0.000 0.500 0.000
0.000 0.500 0.500
0.500 0.000 0.000
0.500 0.000 0.500
0.500 0.500 0.325
0.500 0.500 0.675
0.000 0.000 0.366
0.000 0.000 0.634
0.500 0.500 0.134
0.500 0.500 0.866
0.000 0.000 0.000
0.500 0.500 0.500


Verdict on stability: 1 comes out at the bottom.